(1)
A plane-wave DFT calculation with GGA-PBEsol was carried out for a relaxed structure of NaCd2Ag.

Summary:
- M_tot (μB/f.u.) = 0.00

a b c (Å): 4.811 4.811 4.811
angles (deg): 60.00 60.00 60.00
Sites, in units of the cell vectors:
Cd  0.750  0.750  0.750
Ag  0.500  0.500  0.500
Na  0.000  0.000  0.000
Cd  0.250  0.250  0.250

---

(2)
A plane-wave DFT calculation with GGA-PBEsol was carried out for a relaxed structure of Na2CdReAg.

Summary:
- M_tot (μB/f.u.) = 3.11

a b c (Å): 5.040 5.584 5.584
angles (deg): 90.00 90.00 90.00
Sites, in units of the cell vectors:
Re  0.000  0.000  0.000
Na  0.000  0.000  0.500
Na  0.000  0.500  0.000
Ag  0.500  0.000  0.000
Cd  0.500  0.500  0.500

---

(3)
A plane-wave DFT calculation with GGA-PBEsol was carried out for a relaxed structure of NbCd3Ag.

Summary:
- M_tot (μB/f.u.) = 2.90
- polymorph energy (0 for the lowest one) (kcal/mol of atoms) = 0.000

a b c (Å): 4.984 4.984 4.984
angles (deg): 90.00 90.00 90.00
Sites, in units of the cell vectors:
Ag  0.000  0.000  0.000
Cd  0.500  0.000  0.000
Nb  0.500  0.500  0.500
Cd  0.000  0.500  0.000
Cd  0.000  0.000  0.500

---

(4)
A plane-wave DFT calculation with GGA-PBEsol was carried out for a relaxed structure of NbCd3Ag.

Summary:
- M_tot (μB/f.u.) = 1.88
- polymorph energy (0 for the lowest one) (kcal/mol of atoms) = 6.265

a b c (Å): 5.294 5.294 5.294
angles (deg): 90.00 90.00 90.00
Sites, in units of the cell vectors:
Cd  0.000  0.000  0.500
Cd  0.500  0.000  0.000
Nb  0.000  0.000  0.000
Cd  0.000  0.500  0.000
Ag  0.500  0.500  0.500

---

(5)
A plane-wave DFT calculation with GGA-PBEsol was carried out for a relaxed structure of Nd2CdAg.

Summary:
- M_tot (μB/f.u.) = 0.31

a b c (Å): 5.278 5.278 5.278
angles (deg): 60.00 60.00 60.00
Sites, in units of the cell vectors:
Nd  0.250  0.250  0.250
Nd  0.750  0.750  0.750
Cd  0.500  0.500  0.500
Ag  0.000  0.000  0.000

---

(6)
A plane-wave DFT calculation with GGA-PBEsol was carried out for a relaxed structure of CdNi2Ag.

Summary:
- M_tot (μB/f.u.) = 0.15

a b c (Å): 2.789 4.509 4.888
angles (deg): 107.70 106.58 90.00
Sites, in units of the cell vectors:
Ni  0.269  0.738  0.538
Cd  0.737  0.214  0.474
Ni  0.980  0.010  0.961
Ag  0.513  0.538  0.027

---

(7)
A plane-wave DFT calculation with GGA-PBEsol was carried out for a relaxed structure of CdNi4Ag.

Summary:
- M_tot (μB/f.u.) = 0.00

a b c (Å): 4.760 4.760 4.760
angles (deg): 60.00 60.00 60.00
Sites, in units of the cell vectors:
Ni  0.375  0.375  0.375
Ni  0.375  0.375  0.875
Cd  0.000  0.000  0.000
Ni  0.875  0.375  0.375
Ni  0.375  0.875  0.375
Ag  0.750  0.750  0.750

---

(8)
A plane-wave DFT calculation with GGA-PBEsol was carried out for a relaxed structure of CdNi2AgRu.

Summary:
- M_tot (μB/f.u.) = 0.00

a b c (Å): 4.381 4.381 5.034
angles (deg): 90.00 90.00 90.00
Sites, in units of the cell vectors:
Ru  0.000  0.000  0.000
Ni  0.000  0.500  0.000
Ni  0.500  0.000  0.000
Ag  0.500  0.500  0.500
Cd  0.000  0.000  0.500

---

The calculation returns the following total energy values, one per record and in order: -1.8230; -2.5674; -2.5068; -2.2352; -3.9808; -4.0663; -4.7853; -4.1512 eV/atom.
The calculation returns the following energy relative to the elements values, one per record and in order: -0.0468; 1.5606; 1.0379; 1.3096; -0.2704; 0.1395; 0.0710; 1.2479 eV per atom.
The calculation returns the following D(E_F) values, one per record and in order: 0.6; 4.9; 5.2; 5.0; 4.5; 4.1; 5.4; 5.4 states/eV per cell.